[1]
Computed, not measured: MnCoSn after structural relaxation at the PBE level of DFT.

Cell and atoms, written as extended XYZ:
```
6
Lattice="2.183 -3.782 0.000 2.183 3.782 0.000 0.000 0.000 5.422" Properties=species:S:1:pos:R:3 pbc="T T T"
Mn 0.000 0.000 0.000
Co 2.183 1.261 4.066
Co 2.183 -1.261 1.355
Mn 0.000 0.000 2.711
Sn 2.183 1.261 1.355
Sn 2.183 -1.261 4.066
```

Values from the calculation:
* crystal system: hexagonal
* space-group type: P6_3/mmc, No. 194
* formation enthalpy at 0 K: 0.019 eV per atom

---

[2]
Computed, not measured: MnCoSn3 after structural relaxation at the PBE level of DFT.

Cell and atoms, written as extended XYZ:
```
5
Lattice="-2.616 -4.049 -0.894 3.357 -2.688 2.355 -2.435 0.645 4.206" Properties=species:S:1:pos:R:3 pbc="T T T"
Sn 1.678 -1.344 1.178
Mn -0.847 -3.046 2.834
Sn -1.218 0.322 2.103
Co 0.000 0.000 0.000
Sn -1.308 -2.025 -0.447
```

Values from the calculation:
* crystal system: cubic
* space-group type: Pm-3m, No. 221
* formation enthalpy at 0 K: 0.422 eV per atom

---

[3]
Computed, not measured: MnCo2Sn8 after structural relaxation at the PBE level of DFT.

Cell and atoms, written as extended XYZ:
```
11
Lattice="-2.948 -2.739 3.003 6.056 -3.252 2.668 1.749 4.537 5.544" Properties=species:S:1:pos:R:3 pbc="T T T"
Sn 5.304 0.272 7.208
Sn 2.734 2.059 6.439
Mn 0.000 0.000 0.000
Sn 2.124 -3.514 4.776
Co 0.837 -0.387 2.302
Sn 4.977 -1.997 4.941
Sn -0.447 -1.726 4.007
Sn -0.119 0.543 6.273
Co 4.021 -1.067 8.912
Sn 2.561 -0.106 4.122
Sn 2.296 -1.349 7.093
```

Values from the calculation:
* crystal system: monoclinic
* space-group type: C2/m, No. 12
* formation enthalpy at 0 K: 0.150 eV per atom